Y3In3NiPt2, optimized geometry, DFT PBE; space group = P-62m; energy = -53.1 eV for the cell shown
1.0
7.6541 0.0000 0.0000
-3.8270 6.6286 0.0000
0.0000 0.0000 3.8226
Y In Ni Pt
3 3 1 2
Direct
0.0000 0.5898 0.0000 Y
0.4102 0.4102 0.0000 Y
0.5898 0.0000 0.0000 Y
0.0000 0.2472 0.5000 In
0.2472 0.0000 0.5000 In
0.7528 0.7528 0.5000 In
0.0000 0.0000 0.0000 Ni
0.3333 0.6667 0.5000 Pt
0.6667 0.3333 0.5000 Pt

=====

Ac2Nd, optimized geometry, DFT PBE; space group = Fd-3m; DFT formation energy = 2028 meV/atom
1.0
0.0000 6.8811 6.8811
6.8811 0.0000 6.8811
6.8811 6.8811 0.0000
Ac Nd
4 2
Direct
0.0000 0.0000 0.0000 Ac
0.0000 0.0000 0.5000 Ac
0.0000 0.5000 0.0000 Ac
0.5000 0.0000 0.0000 Ac
0.1250 0.1250 0.1250 Nd
0.8750 0.8750 0.8750 Nd

=====

SmThAs, optimized geometry, DFT PBE; space group = F-43m; energy = -62.9 eV for the cell shown
1.0
7.0111 0.0000 0.0000
0.0000 7.0111 0.0000
0.0000 0.0000 7.0111
Sm Th As
4 4 4
Direct
0.0000 0.0000 0.0000 Sm
0.0000 0.5000 0.5000 Sm
0.5000 0.0000 0.5000 Sm
0.5000 0.5000 0.0000 Sm
0.2500 0.2500 0.2500 Th
0.2500 0.7500 0.7500 Th
0.7500 0.2500 0.7500 Th
0.7500 0.7500 0.2500 Th
0.2500 0.2500 0.7500 As
0.2500 0.7500 0.2500 As
0.7500 0.2500 0.2500 As
0.7500 0.7500 0.7500 As

=====

ZnPdPb, optimized geometry, DFT PBE; space group = F-43m; energy = -42.8 eV for the cell shown
1.0
6.4151 0.0000 0.0000
0.0000 6.4151 0.0000
0.0000 0.0000 6.4151
Zn Pd Pb
4 4 4
Direct
0.0000 0.0000 0.0000 Zn
0.0000 0.5000 0.5000 Zn
0.5000 0.0000 0.5000 Zn
0.5000 0.5000 0.0000 Zn
0.2500 0.2500 0.7500 Pd
0.2500 0.7500 0.2500 Pd
0.7500 0.2500 0.2500 Pd
0.7500 0.7500 0.7500 Pd
0.0000 0.0000 0.5000 Pb
0.0000 0.5000 0.0000 Pb
0.5000 0.0000 0.0000 Pb
0.5000 0.5000 0.5000 Pb

=====

GdAl3B4O12, optimized geometry, DFT PBE; space group = R32; energy = -158.6 eV for the cell shown
1.0
4.6542 2.6871 2.4023
-4.6542 2.6871 2.4023
0.0000 -5.3742 2.4023
Gd Al B O
1 3 4 12
Direct
0.0000 0.0000 0.0000 Gd
0.0000 0.5561 0.4439 Al
0.4439 0.0000 0.5561 Al
0.5561 0.4439 0.0000 Al
0.0577 0.5000 0.9423 B
0.5000 0.5000 0.5000 B
0.5000 0.9423 0.0577 B
0.9423 0.0577 0.5000 B
0.0288 0.6269 0.7774 O
0.0909 0.9091 0.5000 O
0.2226 0.3731 0.9712 O
0.3512 0.6488 0.5000 O
0.3731 0.9712 0.2226 O
0.5000 0.0909 0.9091 O
0.5000 0.3512 0.6488 O
0.6269 0.7774 0.0288 O
0.6488 0.5000 0.3512 O
0.7774 0.0288 0.6269 O
0.9091 0.5000 0.0909 O
0.9712 0.2226 0.3731 O

=====

GaCo2Pt, optimized geometry, DFT PBE; space group = F-43m; energy = -95.6 eV for the cell shown
1.0
5.9366 0.0000 0.0000
0.0000 5.9366 0.0000
0.0000 0.0000 5.9366
Ga Co Pt
4 8 4
Direct
0.0000 0.0000 0.0000 Ga
0.0000 0.5000 0.5000 Ga
0.5000 0.0000 0.5000 Ga
0.5000 0.5000 0.0000 Ga
0.0000 0.0000 0.5000 Co
0.0000 0.5000 0.0000 Co
0.2500 0.2500 0.7500 Co
0.2500 0.7500 0.2500 Co
0.5000 0.0000 0.0000 Co
0.5000 0.5000 0.5000 Co
0.7500 0.2500 0.2500 Co
0.7500 0.7500 0.7500 Co
0.2500 0.2500 0.2500 Pt
0.2500 0.7500 0.7500 Pt
0.7500 0.2500 0.7500 Pt
0.7500 0.7500 0.2500 Pt

=====

Pm2AsSe, optimized geometry, DFT PBE; space group = Pmmn; energy = -49.2 eV for the cell shown
1.0
4.2132 0.0000 0.0000
0.0000 5.9503 0.0000
0.0000 0.0000 8.4584
Pm As Se
4 2 2
Direct
0.2500 0.2500 0.1172 Pm
0.2500 0.2500 0.6359 Pm
0.7500 0.7500 0.3641 Pm
0.7500 0.7500 0.8828 Pm
0.2500 0.7500 0.1264 As
0.7500 0.2500 0.8736 As
0.2500 0.7500 0.6223 Se
0.7500 0.2500 0.3777 Se

=====

ZnSi4Sn, optimized geometry, DFT PBE; space group = Cmmm; energy = -43.4 eV for the cell shown
1.0
7.8744 0.0000 0.0000
0.0000 8.2726 0.0000
0.0000 0.0000 4.2474
Zn Si Sn
2 8 2
Direct
0.0000 0.0000 0.0000 Zn
0.5000 0.5000 0.0000 Zn
0.0000 0.2866 0.0000 Si
0.0000 0.7134 0.0000 Si
0.1569 0.0000 0.5000 Si
0.3431 0.5000 0.5000 Si
0.5000 0.2134 0.0000 Si
0.5000 0.7866 0.0000 Si
0.6569 0.5000 0.5000 Si
0.8431 0.0000 0.5000 Si
0.0000 0.5000 0.5000 Sn
0.5000 0.0000 0.5000 Sn

=====

BeCuMoPb, optimized geometry, DFT PBE; space group = F-43m; energy = -75.1 eV for the cell shown
1.0
6.2653 0.0000 0.0000
0.0000 6.2653 0.0000
0.0000 0.0000 6.2653
Be Cu Mo Pb
4 4 4 4
Direct
0.0000 0.0000 0.0000 Be
0.0000 0.5000 0.5000 Be
0.5000 0.0000 0.5000 Be
0.5000 0.5000 0.0000 Be
0.0000 0.0000 0.5000 Cu
0.0000 0.5000 0.0000 Cu
0.5000 0.0000 0.0000 Cu
0.5000 0.5000 0.5000 Cu
0.2500 0.2500 0.7500 Mo
0.2500 0.7500 0.2500 Mo
0.7500 0.2500 0.2500 Mo
0.7500 0.7500 0.7500 Mo
0.2500 0.2500 0.2500 Pb
0.2500 0.7500 0.7500 Pb
0.7500 0.2500 0.7500 Pb
0.7500 0.7500 0.2500 Pb

=====

ZnO, optimized geometry, DFT PBE; space group = P4_2/m; energy = -67.2 eV for the cell shown
1.0
5.6368 0.0000 0.0000
0.0000 5.6368 0.0000
0.0000 0.0000 5.6700
Zn O
8 8
Direct
0.0000 0.0000 0.2500 Zn
0.0000 0.0000 0.7500 Zn
0.0000 0.5000 0.0000 Zn
0.2427 0.5435 0.5000 Zn
0.4565 0.2427 0.0000 Zn
0.5000 0.0000 0.5000 Zn
0.5435 0.7573 0.0000 Zn
0.7573 0.4565 0.5000 Zn
0.1897 0.3072 0.2399 O
0.1897 0.3072 0.7601 O
0.3072 0.8103 0.2601 O
0.3072 0.8103 0.7399 O
0.6928 0.1897 0.2601 O
0.6928 0.1897 0.7399 O
0.8103 0.6928 0.2399 O
0.8103 0.6928 0.7601 O

=====

LuCuHgPb, optimized geometry, DFT PBE; space group = F-43m; energy = -50.2 eV for the cell shown
1.0
7.1207 0.0000 0.0000
0.0000 7.1207 0.0000
0.0000 0.0000 7.1207
Lu Cu Hg Pb
4 4 4 4
Direct
0.0000 0.0000 0.0000 Lu
0.0000 0.5000 0.5000 Lu
0.5000 0.0000 0.5000 Lu
0.5000 0.5000 0.0000 Lu
0.2500 0.2500 0.7500 Cu
0.2500 0.7500 0.2500 Cu
0.7500 0.2500 0.2500 Cu
0.7500 0.7500 0.7500 Cu
0.2500 0.2500 0.2500 Hg
0.2500 0.7500 0.7500 Hg
0.7500 0.2500 0.7500 Hg
0.7500 0.7500 0.2500 Hg
0.0000 0.0000 0.5000 Pb
0.0000 0.5000 0.0000 Pb
0.5000 0.0000 0.0000 Pb
0.5000 0.5000 0.5000 Pb

=====

Sm3Mg3ZnHg2, optimized geometry, DFT PBE; space group = P-62m; energy = -23.9 eV for the cell shown
1.0
7.8607 0.0000 0.0000
-3.9303 6.8075 0.0000
0.0000 0.0000 4.2453
Sm Mg Zn Hg
3 3 1 2
Direct
0.0000 0.5937 0.0000 Sm
0.4063 0.4063 0.0000 Sm
0.5937 0.0000 0.0000 Sm
0.0000 0.2409 0.5000 Mg
0.2409 0.0000 0.5000 Mg
0.7591 0.7591 0.5000 Mg
0.0000 0.0000 0.0000 Zn
0.3333 0.6667 0.5000 Hg
0.6667 0.3333 0.5000 Hg

=====

Tl2MoBr6, optimized geometry, DFT PBE; space group = C2/m; energy = -31.6 eV for the cell shown
1.0
6.3822 -3.6939 0.0000
6.3822 3.6939 0.0000
-0.1141 0.0000 6.3919
Tl Mo Br
2 1 6
Direct
0.1700 0.1700 0.1608 Tl
0.8300 0.8300 0.8392 Tl
0.5000 0.5000 0.0000 Mo
0.1749 0.6635 0.2289 Br
0.3357 0.3357 0.7660 Br
0.3365 0.8251 0.7711 Br
0.6635 0.1749 0.2289 Br
0.6643 0.6643 0.2340 Br
0.8251 0.3365 0.7711 Br

=====

LuCoRe2, optimized geometry, DFT PBE; space group = F-43m; DFT formation energy = 102 meV/atom
1.0
6.3031 0.0000 0.0000
0.0000 6.3031 0.0000
0.0000 0.0000 6.3031
Lu Co Re
4 4 8
Direct
0.0000 0.0000 0.0000 Lu
0.0000 0.5000 0.5000 Lu
0.5000 0.0000 0.5000 Lu
0.5000 0.5000 0.0000 Lu
0.2500 0.2500 0.2500 Co
0.2500 0.7500 0.7500 Co
0.7500 0.2500 0.7500 Co
0.7500 0.7500 0.2500 Co
0.0000 0.0000 0.5000 Re
0.0000 0.5000 0.0000 Re
0.2500 0.2500 0.7500 Re
0.2500 0.7500 0.2500 Re
0.5000 0.0000 0.0000 Re
0.5000 0.5000 0.5000 Re
0.7500 0.2500 0.2500 Re
0.7500 0.7500 0.7500 Re

=====

LiTcGeMo, optimized geometry, DFT PBE; space group = F-43m; energy = -107.2 eV for the cell shown
1.0
6.0560 0.0000 0.0000
0.0000 6.0560 0.0000
0.0000 0.0000 6.0560
Li Tc Ge Mo
4 4 4 4
Direct
0.0000 0.0000 0.0000 Li
0.0000 0.5000 0.5000 Li
0.5000 0.0000 0.5000 Li
0.5000 0.5000 0.0000 Li
0.2500 0.2500 0.2500 Tc
0.2500 0.7500 0.7500 Tc
0.7500 0.2500 0.7500 Tc
0.7500 0.7500 0.2500 Tc
0.0000 0.0000 0.5000 Ge
0.0000 0.5000 0.0000 Ge
0.5000 0.0000 0.0000 Ge
0.5000 0.5000 0.5000 Ge
0.2500 0.2500 0.7500 Mo
0.2500 0.7500 0.2500 Mo
0.7500 0.2500 0.2500 Mo
0.7500 0.7500 0.7500 Mo

=====

Nd3Zn2Ge4Pd2, optimized geometry, DFT PBE; space group = Immm; energy = -53.9 eV for the cell shown
1.0
-2.0546 2.1673 12.9152
2.0546 -2.1673 12.9152
2.0546 2.1673 -12.9152
Nd Zn Ge Pd
3 2 4 2
Direct
0.0000 0.0000 0.0000 Nd
0.3543 0.8543 0.5000 Nd
0.6457 0.1457 0.5000 Nd
0.2506 0.2506 0.0000 Zn
0.7494 0.7494 0.0000 Zn
0.1908 0.6908 0.5000 Ge
0.4515 0.4515 0.0000 Ge
0.5485 0.5485 0.0000 Ge
0.8092 0.3092 0.5000 Ge
0.0949 0.5949 0.5000 Pd
0.9051 0.4051 0.5000 Pd

=====

Sc2CuTc, optimized geometry, DFT PBE; space group = P4/mmm; DFT formation energy = -270 meV/atom
1.0
3.2630 0.0000 0.0000
0.0000 3.2630 0.0000
0.0000 0.0000 6.4607
Sc Cu Tc
2 1 1
Direct
0.0000 0.0000 0.2379 Sc
0.0000 0.0000 0.7621 Sc
0.5000 0.5000 0.5000 Cu
0.5000 0.5000 0.0000 Tc

=====

Zr4SiSbC2, optimized geometry, DFT PBE; space group = P-6m2; energy = -68.2 eV for the cell shown
1.0
3.3781 0.0000 0.0000
-1.6891 2.9255 0.0000
0.0000 0.0000 13.9040
Zr Si Sb C
4 1 1 2
Direct
0.0000 0.0000 0.1495 Zr
0.0000 0.0000 0.8505 Zr
0.3333 0.6667 0.3325 Zr
0.3333 0.6667 0.6675 Zr
0.3333 0.6667 0.0000 Si
0.0000 0.0000 0.5000 Sb
0.6667 0.3333 0.2419 C
0.6667 0.3333 0.7581 C

=====

YBe2Co, optimized geometry, DFT PBE; space group = F-43m; energy = -80.0 eV for the cell shown
1.0
6.0857 0.0000 0.0000
0.0000 6.0857 0.0000
0.0000 0.0000 6.0857
Y Be Co
4 8 4
Direct
0.0000 0.0000 0.0000 Y
0.0000 0.5000 0.5000 Y
0.5000 0.0000 0.5000 Y
0.5000 0.5000 0.0000 Y
0.0000 0.0000 0.5000 Be
0.0000 0.5000 0.0000 Be
0.2500 0.2500 0.7500 Be
0.2500 0.7500 0.2500 Be
0.5000 0.0000 0.0000 Be
0.5000 0.5000 0.5000 Be
0.7500 0.2500 0.2500 Be
0.7500 0.7500 0.7500 Be
0.2500 0.2500 0.2500 Co
0.2500 0.7500 0.7500 Co
0.7500 0.2500 0.7500 Co
0.7500 0.7500 0.2500 Co

=====

Gd3Dy3Er2, optimized geometry, DFT PBE; space group = Amm2; DFT formation energy = 10 meV/atom
1.0
5.6392 0.0000 0.0000
0.0000 7.2084 0.0000
0.0000 0.0000 12.4858
Gd Dy Er
6 6 4
Direct
0.0000 0.0000 0.0000 Gd
0.0000 0.5000 0.5000 Gd
0.5000 0.2503 0.0832 Gd
0.5000 0.2497 0.5832 Gd
0.5000 0.7497 0.0832 Gd
0.5000 0.7503 0.5832 Gd
0.0000 0.2495 0.7501 Dy
0.0000 0.2505 0.2501 Dy
0.0000 0.7495 0.2501 Dy
0.0000 0.7505 0.7501 Dy
0.5000 0.0000 0.3338 Dy
0.5000 0.5000 0.8338 Dy
0.0000 0.0000 0.5003 Er
0.0000 0.5000 0.0003 Er
0.5000 0.0000 0.8336 Er
0.5000 0.5000 0.3336 Er